(1)
# GdDyGa2

A relaxed GdDyGa2 crystal (PBE-GGA, Alexandria).

Properties
* DOS(E_F): 0.43 states/eV per atom
* total moment: 1.756 μB/atom
* ΔE_f: -2.33 eV per formula unit
* crystal system: cubic

The structure in POSCAR format:
```
GdDyGa2
1.0
5.076 0.000 0.000
2.538 4.396 0.000
2.538 1.465 4.145
Ga Gd Dy
2 1 1
Direct
0.250 0.250 0.250 Ga
0.750 0.750 0.750 Ga
0.500 0.500 0.500 Gd
0.000 0.000 0.000 Dy
```

---

(2)
# TcNiSb2I

A relaxed TcNiSb2I crystal (PBE-GGA, Alexandria).

Properties
* DOS(E_F): 0.74 states/eV per atom
* total moment: 0.637 μB/atom
* crystal system: tetragonal
* formation energy without anion corrections: 95.3 kJ/mol of atoms

The structure in POSCAR format:
```
TcNiSb2I
1.0
-2.773 -3.643 1.854
2.184 0.574 4.394
-3.685 3.504 1.374
Tc I Sb Ni
1 1 2 1
Direct
0.500 0.500 0.500 Tc
0.000 0.000 0.500 I
0.500 0.000 0.000 Sb
0.000 0.500 0.000 Sb
0.000 0.000 0.000 Ni
```

---

Q: What is the DOS(E_F) in the second record?
A: 0.74 states/eV per atom